[1]
Compound: KAgBr2
Source: Alexandria
Functional: PBE
Structure: relaxed

The calculation puts the total magnetization at 0.00 Bohr magnetons per cell. The value obtained for the formation energy without anion corrections is -0.47 eV per atom.

It has space group F-43m (No. 216), with a = 7.7181 Å, b = 7.7181 Å, c = 7.7181 Å, α = 90.00°, β = 90.00° and γ = 90.00°. The inequivalent atoms are K at (0.0000, 0.0000, 0.0000), Ag at (0.2500, 0.2500, 0.7500), Br at (0.0000, 0.0000, 0.5000) and Br at (0.2500, 0.2500, 0.2500).



[2]
Compound: Er5Pb2
Source: Alexandria
Functional: PBE
Structure: relaxed

The calculation puts the total magnetization at 0.00 Bohr magnetons per cell. Its distance to the lowest polymorph of the same formula is 0 meV per atom. The calculation puts the formation energy at -321 meV per atom.

It has space group Cmcm (No. 63), with a = 4.5739 Å, b = 39.2033 Å, c = 4.5902 Å, α = 90.00°, β = 90.00° and γ = 90.00°. The inequivalent atoms are Er at (0.0000, 0.0342, 0.2500), Er at (0.0000, 0.1087, 0.7500), Er at (0.0000, 0.2500, 0.2500), Er at (0.0000, 0.3232, 0.7500), Er at (0.0000, 0.4647, 0.2500), Pb at (0.0000, 0.1892, 0.7500) and Pb at (0.0000, 0.4037, 0.7500).



[3]
Compound: SrGeSO2
Source: Alexandria
Functional: PBE
Structure: relaxed

The calculation puts the total magnetization at 0.00 Bohr magnetons per cell. The value obtained for the formation energy without anion corrections is -1.84 eV per atom.

It has space group Cmcm (No. 63), with a = 5.9458 Å, b = 11.6472 Å, c = 5.3358 Å, α = 90.00°, β = 90.00° and γ = 90.00°. The inequivalent atoms are Sr at (0.0000, 0.1391, 0.2500), Ge at (0.0000, 0.4614, 0.7500), S at (0.0000, 0.2700, 0.7500) and O at (0.2127, 0.5000, 0.0000).



[4]
Compound: LiTi2GaH
Source: Alexandria
Functional: PBE
Structure: relaxed

The calculation puts the total magnetization at 0.00 Bohr magnetons per cell. The calculation puts the calculated total energy at -25.703 eV/cell.

It has space group P4/mmm (No. 123), with a = 4.0144 Å, b = 4.0144 Å, c = 3.9034 Å, α = 90.00°, β = 90.00° and γ = 90.00°. The inequivalent atoms are Li at (0.0000, 0.0000, 0.0000), Ti at (0.0000, 0.5000, 0.5000), Ga at (0.5000, 0.5000, 0.0000) and H at (0.0000, 0.0000, 0.5000).